1.
DFT (PBE) results for an optimized crystal structure of AcCeIrRu.

Unit cell a=5.0721 b=5.0721 c=5.0721 alpha=60.00 beta=60.00 gamma=60.00
Closest atoms and distances in Å follow each position.
Sites, in units of the cell vectors:
Ru: 0.7500 0.7500 0.7500  4 Ac 3.11, 4 Ce 3.11
Ac: 0.5000 0.5000 0.5000  4 Ru 3.11, 4 Ir 3.11
Ir: 0.2500 0.2500 0.2500  4 Ac 3.11, 4 Ce 3.11
Ce: 0.0000 0.0000 0.0000  4 Ru 3.11, 4 Ir 3.11

Values from the calculation:
energy of formation	-264	meV/atom
symmetry	F-43m

***

2.
DFT (PBE) results for an optimized crystal structure of GdSnPtRh.

Unit cell a=4.7893 b=4.7893 c=4.7893 alpha=60.00 beta=60.00 gamma=60.00
Closest atoms and distances in Å follow each position.
Sites, in units of the cell vectors:
Gd: 0.0000 0.0000 0.0000  4 Pt 2.93, 4 Rh 2.93
Rh: 0.2500 0.2500 0.2500  4 Gd 2.93, 4 Sn 2.93
Sn: 0.5000 0.5000 0.5000  4 Rh 2.93, 4 Pt 2.93
Pt: 0.7500 0.7500 0.7500  4 Gd 2.93, 4 Sn 2.93

Values from the calculation:
energy of formation	-776	meV/atom
symmetry	F-43m

***

3.
DFT (PBE) results for an optimized crystal structure of Pm12AlGe7.

Unit cell a=9.1192 b=9.1192 c=9.1192 alpha=109.66 beta=109.66 gamma=109.66
Closest atoms and distances in Å follow each position.
Sites, in units of the cell vectors:
Pm: 0.8596 0.3355 0.7180  3 Ge 2.92-2.99
Pm: 0.6645 0.2820 0.1404  3 Ge 2.92-2.99
Pm: 0.3955 0.0962 0.3145  4 Ge 3.01-3.16, 1 Al 3.35
Pm: 0.9038 0.6855 0.6045  4 Ge 3.01-3.16, 1 Al 3.35
Pm: 0.2820 0.1404 0.6645  3 Ge 2.92-2.99
Pm: 0.6855 0.6045 0.9038  4 Ge 3.01-3.16, 1 Al 3.35
Pm: 0.3145 0.3955 0.0962  4 Ge 3.01-3.16, 1 Al 3.35
Pm: 0.7180 0.8596 0.3355  3 Ge 2.92-2.99
Pm: 0.0962 0.3145 0.3955  4 Ge 3.01-3.16, 1 Al 3.35
Pm: 0.6045 0.9038 0.6855  4 Ge 3.01-3.16, 1 Al 3.35
Pm: 0.3355 0.7180 0.8596  3 Ge 2.92-2.99
Pm: 0.1404 0.6645 0.2820  3 Ge 2.92-2.99
Al: 0.0000 0.0000 0.0000  6 Ge 2.72
Ge: 0.0647 0.7240 0.9732  1 Al 2.72, 5 Pm 2.92-3.02, 2 Ge 2.99
Ge: 0.2760 0.0268 0.9353  1 Al 2.72, 5 Pm 2.92-3.02, 2 Ge 2.99
Ge: 0.0268 0.9353 0.2760  1 Al 2.72, 5 Pm 2.92-3.02, 2 Ge 2.99
Ge: 0.5000 0.5000 0.5000  6 Pm 3.11
Ge: 0.9732 0.0647 0.7240  1 Al 2.72, 5 Pm 2.92-3.02, 2 Ge 2.99
Ge: 0.7240 0.9732 0.0647  1 Al 2.72, 5 Pm 2.92-3.02, 2 Ge 2.99
Ge: 0.9353 0.2760 0.0268  1 Al 2.72, 5 Pm 2.92-3.02, 2 Ge 2.99

Values from the calculation:
energy of formation	-456	meV/atom
symmetry	R-3

***

Energy (computed, eV/atom): -7.31; -8.64; -5.11